#w
6
Lattice="-5.924 -0.840 -1.527 4.974 -3.247 1.687 -1.170 0.440 4.298" Properties=species:S:1:pos:R:3 comment="PBE Si5Hg, relaxed" n_ef_per_ev_fu=1.4 rho_g_cm3=5.19 volume_a3_per_atom=18.19 pbc="T T T"
Si -0.010 -2.056 2.539
Si 2.631 -2.639 3.317
Si 1.626 -2.508 0.699
Si -4.116 -1.149 1.328
Si -2.412 -1.616 -0.491
Hg 4.942 -3.240 1.677



#x
6
Lattice="1.531 5.198 -0.054 -1.531 5.198 -0.054 0.000 0.070 6.715" Properties=species:S:1:pos:R:3 comment="PBE Si5Hg, relaxed" n_ef_per_ev_fu=1.5 rho_g_cm3=5.30 volume_a3_per_atom=17.82 pbc="T T T"
Si 0.000 6.938 3.100
Si 0.000 10.061 3.066
Si 0.000 3.277 1.711
Si 0.000 3.308 4.564
Si 0.000 8.694 6.439
Hg 0.000 0.910 6.518



Which of them is most stable? Easy: #x.